# PBE LaPr2Zr, optimized geometry
# - Energy: -5.577 eV per atom
# - ΔH_f (0 K): 17.5 kJ/mol of atoms
# - Distance to the lowest polymorph of the same formula: 48 meV per atom
data_LaPr2Zr
_cell_length_a 4.106
_cell_length_b 4.106
_cell_length_c 7.656
_cell_angle_alpha 90.00
_cell_angle_beta 90.00
_cell_angle_gamma 90.00
_symmetry_space_group_name_H-M 'P 4/m m m'
_symmetry_Int_Tables_number 123
_symmetry_space_group_name_Hall '-P 4 2'
loop_
_atom_site_label
_atom_site_fract_x
_atom_site_fract_y
_atom_site_fract_z
_atom_site_occupancy
La1 0.000 0.000 0.000 1
Pr1 0.500 0.500 0.285 1
Zr1 0.000 0.000 0.500 1


# PBE KAgMoI6, optimized geometry
# - Energy: -3.095 eV per atom
# - Raw formation energy: -419 meV/atom
data_KAgMoI6
_cell_length_a 7.6488
_cell_length_b 7.6488
_cell_length_c 15.0302
_cell_angle_alpha 90.00
_cell_angle_beta 90.00
_cell_angle_gamma 120.00
_symmetry_space_group_name_H-M 'P -3 1 c'
_symmetry_Int_Tables_number 163
_symmetry_space_group_name_Hall '-P 3 2c'
loop_
_atom_site_label
_atom_site_fract_x
_atom_site_fract_y
_atom_site_fract_z
_atom_site_occupancy
K1 0.0000 0.0000 0.0000 1
Ag1 0.3333 0.6667 0.2500 1
Mo1 0.3333 0.6667 0.7500 1
I1 0.0246 0.3829 0.6430 1


# PBE TlTePI2, optimized geometry
# - Energy: -2.009 eV per atom
# - Raw formation energy: 795 meV/atom
# - Distance to the lowest polymorph of the same formula: 764 meV per atom
data_TlTePI2
_cell_length_a 6.051
_cell_length_b 6.051
_cell_length_c 6.025
_cell_angle_alpha 90.00
_cell_angle_beta 90.00
_cell_angle_gamma 90.00
_symmetry_space_group_name_H-M 'P 4/m m m'
_symmetry_Int_Tables_number 123
_symmetry_space_group_name_Hall '-P 4 2'
loop_
_atom_site_label
_atom_site_fract_x
_atom_site_fract_y
_atom_site_fract_z
_atom_site_occupancy
Tl1 0.000 0.000 0.000 1
Te1 0.000 0.000 0.500 1
P1 0.500 0.500 0.500 1
I1 0.000 0.500 0.000 1


# PBE ZnCrHg2, optimized geometry
# - Energy: -2.585 eV per atom
# - ΔH_f (0 K): 28.0 kJ/mol of atoms
# - Distance to the lowest polymorph of the same formula: 0 meV per atom
data_ZnCrHg2
_cell_length_a 3.075
_cell_length_b 3.075
_cell_length_c 8.150
_cell_angle_alpha 90.00
_cell_angle_beta 90.00
_cell_angle_gamma 90.00
_symmetry_space_group_name_H-M 'P 4 m m'
_symmetry_Int_Tables_number 99
loop_
_symmetry_equiv_pos_as_xyz
'x,y,z'
'-y,x,z'
'-x,-y,z'
'y,-x,z'
'-x,y,z'
'y,x,z'
'x,-y,z'
'-y,-x,z'
loop_
_atom_site_label
_atom_site_fract_x
_atom_site_fract_y
_atom_site_fract_z
_atom_site_occupancy
Zn1 0.000 0.000 0.000 1
Cr1 0.500 0.500 0.196 1
Hg1 0.000 0.000 0.437 1
Hg2 0.500 0.500 0.748 1